# YPdPb, relaxed, DFT PBE
# E, eV for the cell shown: -52.69
# Formation enthalpy at 0 K, meV/atom: -733
# Magnetization, μB per cell: 0.000
data_YPdPb
_chemical_formula_sum 'Y3 Pd3 Pb3'
_space_group_name_H-M_alt 'P -6 2 m'
_space_group_IT_number 189
_space_group_name_Hall 'P -6 -2'
_cell_length_a 7.8276
_cell_length_b 7.8276
_cell_length_c 3.9175
_cell_angle_alpha 90.00
_cell_angle_beta 90.00
_cell_angle_gamma 120.00
loop_
_atom_site_label
_atom_site_fract_x
_atom_site_fract_y
_atom_site_fract_z
Y1 0.0000 0.4004 0.0000
Pd1 0.0000 0.0000 0.0000
Pd2 0.3333 0.6667 0.5000
Pb1 0.0000 0.7341 0.5000